Record 1
Tm6PSe2S3: relaxed, GGA-PBE.

Lattice parameters (Å, degrees): 6.8065 6.8065 6.7696 99.59 99.59 120.13
Fractional coordinates of all 12 atoms:
Tm (0.7726, 0.7726, 0.2640)
S (0.8272, 0.1728, 0.5000)
S (0.1728, 0.8272, 0.5000)
Se (0.3341, 0.6659, 0.0000)
Tm (0.9125, 0.5971, 0.7380)
Se (0.6659, 0.3341, 0.0000)
Tm (0.2274, 0.2274, 0.7360)
Tm (0.5971, 0.9125, 0.7380)
Tm (0.4029, 0.0875, 0.2620)
S (0.5000, 0.5000, 0.5000)
Tm (0.0875, 0.4029, 0.2620)
P (0.0000, 0.0000, 0.0000)

## Properties
space group	C2/m, No. 12
total magnetization	0.000	μB per atom
uncorrected formation energy	-1824.0	meV per atom
volume	21.3	A^3/atom
calculated total energy	-6.12	eV per atom

---

Record 2
Tm8P3SeS4: relaxed, GGA-PBE.

Lattice parameters (Å, degrees): 7.8312 7.7990 7.8317 120.13 120.00 90.00
Fractional coordinates of all 16 atoms:
Tm (0.7441, 0.2517, 0.4881)
Se (0.0000, 0.5000, 0.0000)
P (0.5000, 0.5000, 0.5000)
P (0.5000, 0.5000, 0.0000)
Tm (0.7364, 0.7483, 0.9924)
S (0.5000, 0.0000, 0.5000)
P (0.0000, 0.5000, 0.5000)
Tm (0.2559, 0.7483, 0.5119)
Tm (0.7441, 0.2517, 0.0076)
Tm (0.2532, 0.2596, 0.5064)
S (0.0000, 0.0000, 0.0000)
S (0.5000, 0.0000, 0.0000)
Tm (0.7468, 0.7404, 0.4936)
Tm (0.2636, 0.2517, 0.0076)
S (0.0000, 0.0000, 0.5000)
Tm (0.2559, 0.7483, 0.9924)

## Properties
space group	R-3m, No. 166
total magnetization	0.000	μB per atom
uncorrected formation energy	-1837.7	meV per atom
volume	21.1	A^3/atom
calculated total energy	-6.34	eV per atom

---

Record 3
Tm8PSe4S3: relaxed, GGA-PBE.

Lattice parameters (Å, degrees): 7.8470 7.9521 7.8472 119.56 120.00 90.00
Fractional coordinates of all 16 atoms:
S (0.0000, 0.5000, 0.5000)
Tm (0.2394, 0.7225, 0.4788)
Tm (0.7606, 0.2775, 0.0169)
Se (0.0000, 0.0000, 0.5000)
Se (0.5000, 0.0000, 0.0000)
Tm (0.2593, 0.2779, 0.5186)
Tm (0.7437, 0.7225, 0.9831)
Tm (0.7407, 0.7221, 0.4814)
Tm (0.2394, 0.7225, 0.9831)
S (0.5000, 0.5000, 0.0000)
P (0.0000, 0.5000, 0.0000)
Se (0.5000, 0.0000, 0.5000)
S (0.5000, 0.5000, 0.5000)
Tm (0.2563, 0.2775, 0.0169)
Tm (0.7606, 0.2775, 0.5212)
Se (0.0000, 0.0000, 0.0000)

## Properties
space group	R-3m, No. 166
total magnetization	0.000	μB per atom
uncorrected formation energy	-1801.7	meV per atom
volume	21.8	A^3/atom
calculated total energy	-6.02	eV per atom

---

Record 4
Tm6PSe3S2: relaxed, GGA-PBE.

Lattice parameters (Å, degrees): 6.7929 6.7929 6.9366 99.39 99.39 119.97
Fractional coordinates of all 12 atoms:
Se (0.8324, 0.1676, 0.5000)
S (0.3335, 0.6665, 0.0000)
S (0.6665, 0.3335, 0.0000)
Tm (0.5963, 0.9254, 0.7764)
Se (0.5000, 0.5000, 0.5000)
Tm (0.0746, 0.4037, 0.2236)
Tm (0.7456, 0.7456, 0.2239)
Tm (0.2544, 0.2544, 0.7761)
Se (0.1676, 0.8324, 0.5000)
Tm (0.4037, 0.0746, 0.2236)
P (0.0000, 0.0000, 0.0000)
Tm (0.9254, 0.5963, 0.7764)

## Properties
space group	C2/m, No. 12
total magnetization	0.000	μB per atom
uncorrected formation energy	-1798.7	meV per atom
volume	21.8	A^3/atom
calculated total energy	-6.04	eV per atom

---

Record 5
U6P2Se3S: relaxed, GGA-PBE.

Lattice parameters (Å, degrees): 3.8476 8.2576 8.7929 99.92 102.64 90.00
Fractional coordinates of all 12 atoms:
U (0.9953, 0.7582, 0.9906)
U (0.6714, 0.5714, 0.3428)
S (0.5000, 0.0000, 0.0000)
U (0.3286, 0.4286, 0.6572)
Se (0.5000, 0.5000, 0.0000)
U (0.6634, 0.0912, 0.3269)
P (0.8331, 0.6690, 0.6663)
Se (0.8335, 0.1681, 0.6670)
Se (0.1665, 0.8319, 0.3330)
U (0.3366, 0.9088, 0.6731)
U (0.0047, 0.2418, 0.0094)
P (0.1669, 0.3310, 0.3337)

## Properties
space group	C2/m, No. 12
total magnetization	0.432	μB per atom
uncorrected formation energy	-1067.4	meV per atom
volume	22.4	A^3/atom
calculated total energy	-8.83	eV per atom

---

Record 6
U4P2SeS: relaxed, GGA-PBE.

Lattice parameters (Å, degrees): 3.9884 6.7151 6.9136 69.94 90.00 90.00
Fractional coordinates of all 8 atoms:
P (0.5000, 0.0000, 0.5000)
U (0.5000, 0.7548, 0.2554)
U (0.0000, 0.7606, 0.7394)
U (0.5000, 0.2452, 0.7446)
S (0.0000, 0.5000, 0.5000)
P (0.0000, 0.0000, 0.0000)
Se (0.5000, 0.5000, 0.0000)
U (0.0000, 0.2394, 0.2606)

## Properties
space group	P2/m, No. 10
total magnetization	1.098	μB per atom
uncorrected formation energy	-1088.5	meV per atom
volume	21.7	A^3/atom
calculated total energy	-9.04	eV per atom

---

Record 7
U6PSe2S3: relaxed, GGA-PBE.

Lattice parameters (Å, degrees): 6.7728 6.7728 6.6753 99.44 99.44 116.79
Fractional coordinates of all 12 atoms:
U (0.0866, 0.4108, 0.2616)
S (0.8291, 0.1709, 0.5000)
U (0.2374, 0.2374, 0.7362)
Se (0.3342, 0.6658, 0.0000)
S (0.5000, 0.5000, 0.5000)
P (0.0000, 0.0000, 0.0000)
U (0.5892, 0.9134, 0.7384)
S (0.1709, 0.8291, 0.5000)
U (0.4108, 0.0866, 0.2616)
Se (0.6658, 0.3342, 0.0000)
U (0.7626, 0.7626, 0.2638)
U (0.9134, 0.5892, 0.7384)

## Properties
space group	C2/m, No. 12
total magnetization	1.189	μB per atom
uncorrected formation energy	-1188.1	meV per atom
volume	21.6	A^3/atom
calculated total energy	-8.90	eV per atom

---

Record 8
VPSeS2: relaxed, GGA-PBE.

Lattice parameters (Å, degrees): 4.3802 4.3802 5.0190 90.00 90.00 90.00
Fractional coordinates of all 5 atoms:
V (0.0000, 0.0000, 0.0000)
P (0.0000, 0.0000, 0.5000)
S (0.0000, 0.5000, 0.0000)
S (0.5000, 0.0000, 0.0000)
Se (0.5000, 0.5000, 0.5000)

## Properties
space group	P4/mmm, No. 123
total magnetization	0.000	μB per atom
uncorrected formation energy	229.9	meV per atom
volume	19.3	A^3/atom
calculated total energy	-5.02	eV per atom

---

Record 9
VPSeS2: relaxed, GGA-PBE.

Lattice parameters (Å, degrees): 4.6750 4.6750 4.7081 90.00 90.00 90.00
Fractional coordinates of all 5 atoms:
S (0.0000, 0.5000, 0.0000)
S (0.5000, 0.0000, 0.0000)
Se (0.0000, 0.0000, 0.0000)
V (0.5000, 0.5000, 0.5000)
P (0.0000, 0.0000, 0.5000)

## Properties
space group	P4/mmm, No. 123
total magnetization	0.035	μB per atom
uncorrected formation energy	1132.2	meV per atom
volume	20.6	A^3/atom
calculated total energy	-4.12	eV per atom

---

Record 10
PWSeS2: relaxed, GGA-PBE.

Lattice parameters (Å, degrees): 4.5529 4.5529 5.0286 90.00 90.00 90.00
Fractional coordinates of all 5 atoms:
S (0.0000, 0.5000, 0.0000)
W (0.0000, 0.0000, 0.0000)
Se (0.5000, 0.5000, 0.5000)
P (0.0000, 0.0000, 0.5000)
S (0.5000, 0.0000, 0.0000)

## Properties
space group	P4/mmm, No. 123
total magnetization	0.000	μB per atom
uncorrected formation energy	423.2	meV per atom
volume	20.8	A^3/atom
calculated total energy	-5.60	eV per atom

---

Record 11
PWSeS2: relaxed, GGA-PBE.

Lattice parameters (Å, degrees): 4.5988 4.5988 4.7376 90.00 90.00 90.00
Fractional coordinates of all 5 atoms:
S (0.5000, 0.0000, 0.0000)
Se (0.0000, 0.0000, 0.0000)
S (0.0000, 0.5000, 0.0000)
W (0.5000, 0.5000, 0.5000)
P (0.0000, 0.0000, 0.5000)

## Properties
space group	P4/mmm, No. 123
total magnetization	0.448	μB per atom
uncorrected formation energy	1513.9	meV per atom
volume	20.0	A^3/atom
calculated total energy	-4.51	eV per atom

---

Record 12
Y6P3Se2S: relaxed, GGA-PBE.

Lattice parameters (Å, degrees): 4.0122 8.0904 9.0350 103.67 102.83 90.00
Fractional coordinates of all 12 atoms:
P (0.1674, 0.8346, 0.3348)
Y (0.0049, 0.7460, 0.0098)
Y (0.3384, 0.4039, 0.6767)
Y (0.9951, 0.2540, 0.9902)
Y (0.6616, 0.5961, 0.3233)
P (0.8326, 0.1654, 0.6652)
Se (0.8336, 0.6662, 0.6672)
Y (0.6684, 0.0706, 0.3368)
Y (0.3316, 0.9294, 0.6632)
P (0.5000, 0.5000, 0.0000)
S (0.5000, 0.0000, 0.0000)
Se (0.1664, 0.3338, 0.3328)

## Properties
space group	C2/m, No. 12
total magnetization	0.000	μB per atom
uncorrected formation energy	-1820.5	meV per atom
volume	23.1	A^3/atom
calculated total energy	-7.33	eV per atom

---

- The highest calculated total energy belongs to which entry?
  number 9